Entry 1:
# Tl3PtRh2Se6

An optimized crystal structure of Tl3PtRh2Se6 (PBE-GGA, Alexandria via LeMat-Bulk).

Geometry as extended XYZ:
```
12
Lattice="6.6393 -0.0001 -0.0002 -3.3181 5.7507 -0.0002 -1.1079 -1.9184 7.5009" Properties=species:S:1:pos:R:3 pbc="T T T"
Se -1.1116 1.9320 1.2580
Se -0.0157 3.8295 6.2426
Se 3.3248 1.9002 6.2426
Se 2.2037 3.8156 1.2593
Se 2.2289 0.0027 1.2580
Se 0.0096 0.0166 6.2412
Tl 1.1066 1.9161 3.7503
Tl 4.4412 -0.0098 3.7503
Tl -2.2280 3.8420 3.7503
Pt 0.0000 0.0000 0.0000
Rh -0.0019 3.8355 -0.0002
Rh 3.3231 1.9151 -0.0002
```

Energy relative to the elements, uncorrected: -34.3 kJ per mole of atoms
Crystal system: monoclinic



Entry 2:
# TcHPdRh2

An optimized crystal structure of TcHPdRh2 (PBE-GGA, Alexandria via LeMat-Bulk).

Geometry as extended XYZ:
```
5
Lattice="3.9451 0.0000 0.0000 0.0000 3.9451 0.0000 0.0000 0.0000 3.9285" Properties=species:S:1:pos:R:3 pbc="T T T"
Pd 0.0000 0.0000 1.9642
Rh 1.9725 0.0000 0.0000
Rh 0.0000 1.9725 0.0000
Tc 1.9725 1.9725 1.9642
H 0.0000 0.0000 0.0000
```

Crystal system: tetragonal



Entry 3:
# Cd2S2Cl

An optimized crystal structure of Cd2S2Cl (PBE-GGA, Alexandria via LeMat-Bulk).

Geometry as extended XYZ:
```
10
Lattice="-4.0555 1.6795 -4.6901 -0.2060 -2.8050 -6.1349 -6.9845 -2.8652 0.1519" Properties=species:S:1:pos:R:3 pbc="T T T"
S -7.2103 -3.2191 -5.0258
S -4.0357 -0.7717 -5.6473
S -9.2362 -3.5165 -9.5740
S -2.0097 -0.4742 -1.0990
Cd -4.8079 -3.1014 -6.5386
Cd -6.4381 -0.8894 -4.1345
Cd -2.3983 -0.6781 -3.6189
Cd -8.8477 -3.3126 -7.0542
Cl -5.1973 -2.2485 -2.2325
Cl -6.0487 -1.7422 -8.4405
```

Energy relative to the elements, uncorrected: -41.5 kJ per mole of atoms
Crystal system: triclinic



Entry 4:
# Ca2ZnCdI

An optimized crystal structure of Ca2ZnCdI (PBE-GGA, Alexandria via LeMat-Bulk).

Geometry as extended XYZ:
```
5
Lattice="-5.5290 -1.0981 1.5690 1.6945 -5.7631 1.9379 1.0955 2.1187 5.3431" Properties=species:S:1:pos:R:3 pbc="T T T"
Cd 0.8473 -2.8815 0.9689
Ca -2.7645 -0.5490 0.7845
Ca 0.5477 1.0594 2.6715
I 0.0000 0.0000 0.0000
Zn -1.3695 -2.3712 4.4250
```

Energy relative to the elements, uncorrected: 24.0 kJ per mole of atoms
Crystal system: tetragonal



Entry 5:
# CsCd3Bi2

An optimized crystal structure of CsCd3Bi2 (PBE-GGA, Alexandria via LeMat-Bulk).

Geometry as extended XYZ:
```
12
Lattice="4.9862 0.0000 0.0000 -2.4931 9.7098 0.3936 0.0000 -3.9927 8.6166" Properties=species:S:1:pos:R:3 pbc="T T T"
Cd 2.4931 -0.8075 5.6250
Cd 0.0000 4.0201 5.1308
Cd 2.4931 1.6969 3.8795
Cd 0.0000 6.5246 3.3853
Cd 2.4931 6.5583 5.6041
Cd 0.0000 -0.8412 3.4061
Bi 2.4931 4.5819 3.0956
Bi 2.4931 -0.4929 1.6824
Bi 0.0000 6.2099 7.3278
Bi 0.0000 1.1351 5.9146
Cs 2.4931 3.0968 8.3881
Cs 0.0000 2.6202 0.6221
```

ΔH_f (0 K): -0.155 eV/atom
Crystal system: monoclinic



Entry 6:
# YReHg

An optimized crystal structure of YReHg (PBE-GGA, Alexandria via LeMat-Bulk).

Geometry as extended XYZ:
```
3
Lattice="-5.9900 -2.1896 2.3372 -2.8861 -2.8740 5.4357 4.0342 4.5424 -3.0378" Properties=species:S:1:pos:R:3 pbc="T T T"
Y -6.0131 -3.4303 5.2657
Re -2.9801 -1.7001 2.6097
Hg -8.7590 -4.9968 7.6704
```

ΔH_f (0 K): 0.450 eV/atom
Crystal system: tetragonal



no.,theoretical density (g/cm3),electronic total energy (eV/cell)
1,8.63,-53.0
2,11.17,-33.0
3,4.60,-28.2
4,2.96,-6.5
5,6.94,-24.6
6,12.49,-17.9